1.
This record from Alexandria via LeMat-Bulk describes a relaxed TlCd2Fe crystal. The functional is GGA-PBE.

Cell: 4.0857 3.1473 7.1692 Å, 64.33 90.00 90.00°
Last column: nearest neighbours and their distance in Å.
Atoms (fractional coordinates):
Fe  0.0000  0.5196  0.4820  5 Cd 2.92-2.98, 4 Tl 3.02-3.03, 2 Fe 3.15
Tl  0.5000  0.7730  0.7266  5 Cd 2.95-3.21, 4 Fe 3.02-3.03, 2 Tl 3.15
Cd  0.5000  0.2307  0.2701  4 Fe 2.92, 1 Tl 2.95, 6 Cd 3.04-3.15
Cd  0.0000  0.9767  0.0213  1 Fe 2.98, 6 Cd 3.04-3.15, 4 Tl 3.20-3.21

Properties
- Spin magnetization: 2.7 μB per formula unit
- SG: Pm


2.
This record from Alexandria via LeMat-Bulk describes a relaxed TlCd2Fe crystal. The functional is GGA-PBE.

Cell: 5.0677 6.1690 3.0481 Å, 75.44 90.61 114.42°
Last column: nearest neighbours and their distance in Å.
Atoms (fractional coordinates):
Cd  0.5000  0.0000  0.5000  6 Cd 2.94-3.05, 2 Fe 3.08, 2 Tl 3.08
Cd  0.0000  0.0000  0.0000  6 Cd 2.94-3.05, 2 Tl 3.08, 2 Fe 3.08
Fe  0.0000  0.5000  0.5000  4 Tl 2.94-2.97, 2 Fe 3.05, 4 Cd 3.08
Tl  0.5000  0.5000  0.0000  4 Fe 2.94-2.97, 2 Tl 3.05, 4 Cd 3.08

Properties
- Spin magnetization: 2.7 μB per formula unit
- SG: C2/m


3.
This record from Alexandria via LeMat-Bulk describes a relaxed Tl2CdFe crystal. The functional is GGA-PBE.

Cell: 3.2646 5.6373 5.1005 Å, 90.00 90.00 90.00°
Last column: nearest neighbours and their distance in Å.
Atoms (fractional coordinates):
Fe  0.0000  0.5000  0.5000  4 Tl 3.03, 4 Cd 3.26, 2 Fe 3.26
Tl  0.0000  0.0000  0.0000  4 Cd 3.03, 6 Tl 3.26
Cd  0.5000  0.0000  0.5000  4 Tl 3.03, 4 Fe 3.26, 2 Cd 3.26
Tl  0.5000  0.5000  0.0000  4 Fe 3.03, 6 Tl 3.26

Properties
- Spin magnetization: 3.1 μB per formula unit
- SG: Pmmm


4.
This record from Alexandria via LeMat-Bulk describes a relaxed TlCd2Fe crystal. The functional is GGA-PBE.

Cell: 9.9138 9.9138 9.9138 Å, 18.43 18.43 18.43°
Last column: nearest neighbours and their distance in Å.
Atoms (fractional coordinates):
Fe  0.2500  0.2500  0.2500  6 Cd 2.80
Cd  0.5108  0.5108  0.5108  3 Fe 2.80
Tl  0.7500  0.7500  0.7500  6 Tl 3.18, 6 Cd 3.31
Cd  0.9892  0.9892  0.9892  3 Fe 2.80

Properties
- Spin magnetization: 2.8 μB per formula unit
- SG: R-3m


5.
This record from Alexandria via LeMat-Bulk describes a relaxed TlCd2Fe crystal. The functional is GGA-PBE.

Cell: 3.2046 4.8574 5.3263 Å, 90.00 90.00 90.00°
Last column: nearest neighbours and their distance in Å.
Atoms (fractional coordinates):
Cd  0.5000  0.5000  0.0000  6 Cd 2.91-3.20, 4 Tl 3.11
Cd  0.0000  0.0000  0.0000  6 Cd 2.91-3.20, 4 Fe 3.11
Fe  0.5000  0.0000  0.5000  4 Tl 2.91, 4 Cd 3.11, 2 Fe 3.20
Tl  0.0000  0.5000  0.5000  4 Fe 2.91, 4 Cd 3.11, 2 Tl 3.20

Properties
- Spin magnetization: 2.7 μB per formula unit
- SG: Pmmm


6.
This record from Alexandria via LeMat-Bulk describes a relaxed Tl2CdFe crystal. The functional is GGA-PBE.

Cell: 4.9217 4.9217 4.9217 Å, 60.00 60.00 60.00°
Last column: nearest neighbours and their distance in Å.
Atoms (fractional coordinates):
Tl  0.2500  0.2500  0.2500  4 Cd 3.01, 4 Fe 3.01
Tl  0.7500  0.7500  0.7500  4 Cd 3.01, 4 Fe 3.01
Cd  0.5000  0.5000  0.5000  8 Tl 3.01
Fe  0.0000  0.0000  0.0000  8 Tl 3.01

Properties
- Spin magnetization: 0.0 μB per formula unit
- SG: Fm-3m


7.
This record from Alexandria via LeMat-Bulk describes a relaxed TlCd2Fe crystal. The functional is GGA-PBE.

Cell: 5.1216 5.1216 3.2632 Å, 90.00 90.00 90.00°
Last column: nearest neighbours and their distance in Å.
Atoms (fractional coordinates):
Cd  0.0000  0.0000  0.0000  4 Fe 3.04, 4 Tl 3.04, 2 Cd 3.26
Fe  0.5000  0.0000  0.5000  8 Cd 3.04, 2 Fe 3.26
Cd  0.5000  0.5000  0.0000  4 Tl 3.04, 4 Fe 3.04, 2 Cd 3.26
Tl  0.0000  0.5000  0.5000  8 Cd 3.04, 2 Tl 3.26

Properties
- Spin magnetization: 2.8 μB per formula unit
- SG: P4/mmm


8.
This record from Alexandria via LeMat-Bulk describes a relaxed Tl3CdFe crystal. The functional is GGA-PBE.

Cell: 5.1786 5.1786 5.1786 Å, 90.00 90.00 90.00°
Last column: nearest neighbours and their distance in Å.
Atoms (fractional coordinates):
Cd  0.5000  0.5000  0.5000  12 Tl 3.66
Tl  0.0000  0.5000  0.0000  2 Fe 2.59
Fe  0.0000  0.0000  0.0000  6 Tl 2.59
Tl  0.5000  0.0000  0.0000  2 Fe 2.59
Tl  0.0000  0.0000  0.5000  2 Fe 2.59

Properties
- Spin magnetization: 1.0 μB per formula unit
- SG: Pm-3m


| no. | ΔE_f (eV per atom) |
| --- | --- |
| 1 | 0.401 |
| 2 | 0.408 |
| 3 | 0.534 |
| 4 | 0.339 |
| 5 | 0.433 |
| 6 | 0.786 |
| 7 | 0.473 |
| 8 | 0.343 |